(1)
This record from Alexandria via LeMat-Bulk describes an optimized crystal structure of CePaZnO6. The functional is PBE.

Values from the calculation:
Uncorrected energy ... -7.80 eV per atom
Total magnetic moment ... 0.000 μB/atom
SG ... P312, No. 149

a = 5.446 Å, b = 5.446 Å, c = 4.940 Å
α = 90.00°, β = 90.00°, γ = 120.00°
Fractional coordinates of all 9 atoms:
Ce  0.000  0.000  0.000
Pa  0.667  0.333  0.500
Zn  0.333  0.667  0.000
O  0.349  0.001  0.243
O  0.349  0.349  0.757
O  0.651  0.001  0.757
O  0.651  0.651  0.243
O  0.999  0.349  0.243
O  0.999  0.651  0.757

***

(2)
This record from Alexandria via LeMat-Bulk describes an optimized crystal structure of Ce2PbO. The functional is PBE.

Values from the calculation:
Total magnetic moment ... 0.480 μB/atom
Energy above the most stable polymorph in this dataset ... 68 meV/atom
SG ... R3m, No. 160

a = 8.449 Å, b = 8.449 Å, c = 8.449 Å
α = 24.75°, β = 24.75°, γ = 24.75°
Fractional coordinates of all 4 atoms:
Ce  0.000  0.000  0.000
Ce  0.222  0.222  0.222
Pb  0.778  0.778  0.778
O  0.612  0.612  0.612

***

(3)
This record from Alexandria via LeMat-Bulk describes an optimized crystal structure of Ce3PbO3. The functional is PBE.

Values from the calculation:
Uncorrected energy ... -7.65 eV per atom
Total magnetic moment ... 0.288 μB/atom
SG ... Pm-3n, No. 223

a = 6.645 Å, b = 6.645 Å, c = 6.645 Å
α = 90.00°, β = 90.00°, γ = 90.00°
Fractional coordinates of all 14 atoms:
Ce  0.000  0.250  0.500
Ce  0.000  0.750  0.500
Ce  0.250  0.500  0.000
Ce  0.500  0.000  0.250
Ce  0.500  0.000  0.750
Ce  0.750  0.500  0.000
Pb  0.000  0.000  0.000
Pb  0.500  0.500  0.500
O  0.000  0.500  0.250
O  0.000  0.500  0.750
O  0.250  0.000  0.500
O  0.500  0.250  0.000
O  0.500  0.750  0.000
O  0.750  0.000  0.500

***

(4)
This record from Alexandria via LeMat-Bulk describes an optimized crystal structure of Ce2PbO. The functional is PBE.

Values from the calculation:
Total magnetic moment ... 0.350 μB/atom
Energy above the most stable polymorph in this dataset ... 49 meV/atom
SG ... R-3m, No. 166

a = 8.306 Å, b = 8.306 Å, c = 8.306 Å
α = 25.35°, β = 25.35°, γ = 25.35°
Fractional coordinates of all 4 atoms:
Ce  0.223  0.223  0.223
Ce  0.777  0.777  0.777
Pb  0.000  0.000  0.000
O  0.500  0.500  0.500

***

(5)
This record from Alexandria via LeMat-Bulk describes an optimized crystal structure of Ce5Pb3O. The functional is PBE.

Values from the calculation:
Total magnetic moment ... 0.609 μB/atom
Energy above the most stable polymorph in this dataset ... 13 meV/atom
SG ... P6_3/mcm, No. 193

a = 9.428 Å, b = 9.428 Å, c = 6.362 Å
α = 90.00°, β = 90.00°, γ = 120.00°
Fractional coordinates of all 18 atoms:
Ce  0.000  0.217  0.250
Ce  0.000  0.783  0.750
Ce  0.217  0.000  0.250
Ce  0.217  0.217  0.750
Ce  0.333  0.667  0.000
Ce  0.333  0.667  0.500
Ce  0.667  0.333  0.000
Ce  0.667  0.333  0.500
Ce  0.783  0.000  0.750
Ce  0.783  0.783  0.250
Pb  0.000  0.397  0.750
Pb  0.000  0.603  0.250
Pb  0.397  0.000  0.750
Pb  0.397  0.397  0.250
Pb  0.603  0.000  0.250
Pb  0.603  0.603  0.750
O  0.000  0.000  0.000
O  0.000  0.000  0.500

***

(6)
This record from Alexandria via LeMat-Bulk describes an optimized crystal structure of Ce3PbO2. The functional is PBE.

Values from the calculation:
Uncorrected energy ... -7.24 eV per atom
Total magnetic moment ... 0.570 μB/atom
SG ... I4/mmm, No. 139

a = 6.770 Å, b = 6.770 Å, c = 6.770 Å
α = 138.80°, β = 138.80°, γ = 59.68°
Fractional coordinates of all 6 atoms:
Ce  0.000  0.000  0.000
Ce  0.250  0.750  0.500
Ce  0.750  0.250  0.500
Pb  0.500  0.500  0.000
O  0.202  0.202  0.000
O  0.798  0.798  0.000

***

(7)
This record from Alexandria via LeMat-Bulk describes an optimized crystal structure of Ce2PbO2. The functional is PBE.

Values from the calculation:
Uncorrected energy ... -7.09 eV per atom
Total magnetic moment ... 0.279 μB/atom
SG ... P4/mmm, No. 123

a = 3.775 Å, b = 3.775 Å, c = 7.495 Å
α = 90.00°, β = 90.00°, γ = 90.00°
Fractional coordinates of all 5 atoms:
Ce  0.000  0.000  0.192
Ce  0.000  0.000  0.808
Pb  0.500  0.500  0.500
O  0.000  0.500  0.000
O  0.500  0.000  0.000

***

(8)
This record from Alexandria via LeMat-Bulk describes an optimized crystal structure of Ce2PbO. The functional is PBE.

Values from the calculation:
Total magnetic moment ... 0.038 μB/atom
Energy above the most stable polymorph in this dataset ... 57 meV/atom
SG ... Fmm2, No. 42

a = 11.463 Å, b = 4.139 Å, c = 11.465 Å
α = 79.58°, β = 20.80°, γ = 79.62°
Fractional coordinates of all 8 atoms:
Ce  0.005  0.489  0.995
Ce  0.199  0.801  0.199
Ce  0.489  0.005  0.511
Ce  0.801  0.199  0.801
Pb  0.385  0.616  0.384
Pb  0.616  0.385  0.615
O  0.250  0.250  0.250
O  0.750  0.750  0.750

***

(9)
This record from Alexandria via LeMat-Bulk describes an optimized crystal structure of Ce3Pb2O. The functional is PBE.

Values from the calculation:
Uncorrected energy ... -6.22 eV per atom
Total magnetic moment ... 0.531 μB/atom
SG ... Pnma, No. 62

a = 8.471 Å, b = 4.182 Å, c = 18.077 Å
α = 90.00°, β = 90.00°, γ = 90.00°
Fractional coordinates of all 24 atoms:
Ce  0.068  0.250  0.172
Ce  0.107  0.250  0.331
Ce  0.158  0.250  0.541
Ce  0.342  0.750  0.041
Ce  0.393  0.750  0.831
Ce  0.432  0.750  0.672
Ce  0.568  0.250  0.328
Ce  0.607  0.250  0.169
Ce  0.658  0.250  0.959
Ce  0.842  0.750  0.459
Ce  0.893  0.750  0.669
Ce  0.932  0.750  0.828
Pb  0.106  0.250  0.944
Pb  0.160  0.250  0.729
Pb  0.340  0.750  0.229
Pb  0.394  0.750  0.444
Pb  0.606  0.250  0.556
Pb  0.660  0.250  0.771
Pb  0.840  0.750  0.271
Pb  0.894  0.750  0.056
O  0.015  0.750  0.557
O  0.485  0.250  0.057
O  0.515  0.750  0.943
O  0.985  0.250  0.443

***

(10)
This record from Alexandria via LeMat-Bulk describes an optimized crystal structure of Ce6Pb2O. The functional is PBE.

Values from the calculation:
Uncorrected energy ... -6.13 eV per atom
Total magnetic moment ... 0.750 μB/atom
SG ... I4/mmm, No. 139

a = 6.932 Å, b = 6.932 Å, c = 6.932 Å
α = 120.10°, β = 120.10°, γ = 89.83°
Fractional coordinates of all 9 atoms:
Ce  0.249  0.249  0.497
Ce  0.249  0.751  0.000
Ce  0.250  0.250  0.000
Ce  0.750  0.750  0.000
Ce  0.751  0.249  0.000
Ce  0.751  0.751  0.503
Pb  0.250  0.750  0.500
Pb  0.750  0.250  0.500
O  0.500  0.500  0.000

***

(11)
This record from Alexandria via LeMat-Bulk describes an optimized crystal structure of Ce2PbO. The functional is PBE.

Values from the calculation:
Total magnetic moment ... 0.434 μB/atom
Energy above the most stable polymorph in this dataset ... 0 meV/atom
SG ... Pnma, No. 62

a = 7.258 Å, b = 4.818 Å, c = 10.889 Å
α = 90.00°, β = 90.00°, γ = 90.00°
Fractional coordinates of all 16 atoms:
Ce  0.111  0.250  0.208
Ce  0.135  0.250  0.557
Ce  0.365  0.750  0.057
Ce  0.389  0.750  0.708
Ce  0.611  0.250  0.292
Ce  0.635  0.250  0.943
Ce  0.865  0.750  0.443
Ce  0.889  0.750  0.792
Pb  0.158  0.250  0.876
Pb  0.342  0.750  0.376
Pb  0.658  0.250  0.624
Pb  0.842  0.750  0.124
O  0.069  0.750  0.617
O  0.431  0.250  0.117
O  0.569  0.750  0.883
O  0.931  0.250  0.383

***

(12)
This record from Alexandria via LeMat-Bulk describes an optimized crystal structure of Ce5Pb3O. The functional is PBE.

Values from the calculation:
Total magnetic moment ... 0.680 μB/atom
Energy above the most stable polymorph in this dataset ... 0 meV/atom
SG ... I4/mcm, No. 140

a = 9.327 Å, b = 9.327 Å, c = 9.327 Å
α = 125.46°, β = 125.46°, γ = 80.78°
Fractional coordinates of all 18 atoms:
Ce  0.000  0.000  0.000
Ce  0.002  0.502  0.813
Ce  0.189  0.002  0.500
Ce  0.311  0.811  0.813
Ce  0.498  0.311  0.500
Ce  0.500  0.500  0.000
Ce  0.502  0.689  0.500
Ce  0.689  0.189  0.187
Ce  0.811  0.998  0.500
Ce  0.998  0.498  0.187
Pb  0.142  0.358  0.500
Pb  0.250  0.250  0.000
Pb  0.358  0.858  0.216
Pb  0.642  0.142  0.784
Pb  0.750  0.750  0.000
Pb  0.858  0.642  0.500
O  0.250  0.750  0.500
O  0.750  0.250  0.500